# 1
The following is a DFT calculation (meta-GGA SCAN) of a crystal of AlTePb2 relaxed with PBEsol.

formation energy (no corrections)	0.170	eV/atom
ΔE to the lowest computed polymorph	0.0783	eV per atom
symmetry	P4/mmm, No. 123

Cell lengths 3.3947, 3.3947, 9.2422 Å; angles 90.00, 90.00, 90.00 degrees
Sites, in units of the cell vectors:
1 Al 0.0000 0.0000 0.0000
2 Te 0.0000 0.0000 0.5000
3 Pb 0.5000 0.5000 0.2192
4 Pb 0.5000 0.5000 0.7808

# 2
The following is a DFT calculation (meta-GGA SCAN) of a crystal of Al2TePb relaxed with PBEsol.

formation energy (no corrections)	0.379	eV/atom
ΔE to the lowest computed polymorph	0.2122	eV per atom
symmetry	F-43m, No. 216

Cell lengths 5.1650, 5.1650, 5.1650 Å; angles 60.00, 60.00, 60.00 degrees
Sites, in units of the cell vectors:
1 Al 0.0000 0.0000 0.0000
2 Al 0.2500 0.2500 0.2500
3 Te 0.5000 0.5000 0.5000
4 Pb 0.7500 0.7500 0.7500

# 3
The following is a DFT calculation (meta-GGA SCAN) of a crystal of AlTePb2 relaxed with PBEsol.

formation energy (no corrections)	0.154	eV/atom
ΔE to the lowest computed polymorph	0.0619	eV per atom
symmetry	P4/mmm, No. 123

Cell lengths 5.3268, 5.3268, 3.8125 Å; angles 90.00, 90.00, 90.00 degrees
Sites, in units of the cell vectors:
1 Al 0.0000 0.0000 0.0000
2 Te 0.5000 0.5000 0.0000
3 Pb 0.0000 0.5000 0.5000
4 Pb 0.5000 0.0000 0.5000

# 4
The following is a DFT calculation (meta-GGA SCAN) of a crystal of AlTePb3 relaxed with PBEsol.

formation energy (no corrections)	0.778	eV/atom
ΔE to the lowest computed polymorph	0.4986	eV per atom
symmetry	Pm-3m, No. 221

Cell lengths 5.8740, 5.8740, 5.8740 Å; angles 90.00, 90.00, 90.00 degrees
Sites, in units of the cell vectors:
1 Al 0.0000 0.0000 0.0000
2 Te 0.5000 0.5000 0.5000
3 Pb 0.0000 0.5000 0.5000
4 Pb 0.5000 0.0000 0.5000
5 Pb 0.5000 0.5000 0.0000

# 5
The following is a DFT calculation (meta-GGA SCAN) of a crystal of AlTePb2 relaxed with PBEsol.

formation energy (no corrections)	0.207	eV/atom
ΔE to the lowest computed polymorph	0.1153	eV per atom
symmetry	R-3m, No. 166

Cell lengths 11.6448, 11.6448, 11.6448 Å; angles 16.24, 16.24, 16.24 degrees
Sites, in units of the cell vectors:
1 Al 0.0000 0.0000 0.0000
2 Te 0.5000 0.5000 0.5000
3 Pb 0.2588 0.2588 0.2588
4 Pb 0.7412 0.7412 0.7412

# 6
The following is a DFT calculation (meta-GGA SCAN) of a crystal of AlTePb3 relaxed with PBEsol.

formation energy (no corrections)	0.280	eV/atom
ΔE to the lowest computed polymorph	0.0000	eV per atom
symmetry	Pm-3m, No. 221

Cell lengths 5.3841, 5.3841, 5.3841 Å; angles 90.00, 90.00, 90.00 degrees
Sites, in units of the cell vectors:
1 Al 0.0000 0.0000 0.0000
2 Te 0.5000 0.5000 0.5000
3 Pb 0.0000 0.0000 0.5000
4 Pb 0.0000 0.5000 0.0000
5 Pb 0.5000 0.0000 0.0000

# 7
The following is a DFT calculation (meta-GGA SCAN) of a crystal of Al2TePb relaxed with PBEsol.

formation energy (no corrections)	0.167	eV/atom
ΔE to the lowest computed polymorph	0.0000	eV per atom
symmetry	P4mm, No. 99

Cell lengths 3.1385, 3.1385, 9.6146 Å; angles 90.00, 90.00, 90.00 degrees
Sites, in units of the cell vectors:
1 Al 0.0000 0.0000 0.0000
2 Al 0.5000 0.5000 0.1840
3 Te 0.5000 0.5000 0.7643
4 Pb 0.0000 0.0000 0.4220

# 8
The following is a DFT calculation (meta-GGA SCAN) of a crystal of AlTePb2 relaxed with PBEsol.

formation energy (no corrections)	0.176	eV/atom
ΔE to the lowest computed polymorph	0.0837	eV per atom
symmetry	Pmmm, No. 47

Cell lengths 3.8812, 5.2664, 5.2815 Å; angles 90.00, 90.00, 90.00 degrees
Sites, in units of the cell vectors:
1 Al 0.0000 0.0000 0.0000
2 Te 0.5000 0.0000 0.5000
3 Pb 0.0000 0.5000 0.5000
4 Pb 0.5000 0.5000 0.0000

# 9
The following is a DFT calculation (meta-GGA SCAN) of a crystal of AlTePb2 relaxed with PBEsol.

formation energy (no corrections)	0.092	eV/atom
ΔE to the lowest computed polymorph	0.0000	eV per atom
symmetry	P4mm, No. 99

Cell lengths 3.6290, 3.6290, 8.0807 Å; angles 90.00, 90.00, 90.00 degrees
Sites, in units of the cell vectors:
1 Al 0.0000 0.0000 0.0000
2 Te 0.5000 0.5000 0.8341
3 Pb 0.0000 0.0000 0.5449
4 Pb 0.5000 0.5000 0.2549

# 10
The following is a DFT calculation (meta-GGA SCAN) of a crystal of AlTe3Pb relaxed with PBEsol.

formation energy (no corrections)	0.058	eV/atom
symmetry	Pm-3m, No. 221

Cell lengths 5.3033, 5.3033, 5.3033 Å; angles 90.00, 90.00, 90.00 degrees
Sites, in units of the cell vectors:
1 Al 0.0000 0.0000 0.0000
2 Te 0.0000 0.0000 0.5000
3 Te 0.0000 0.5000 0.0000
4 Te 0.5000 0.0000 0.0000
5 Pb 0.5000 0.5000 0.5000

# 11
The following is a DFT calculation (meta-GGA SCAN) of a crystal of TiAlPb3 relaxed with PBEsol.

symmetry	Pm-3m, No. 221
ΔH_f (0 K)	15.32	kcal/mol of atoms

Cell lengths 5.2852, 5.2852, 5.2852 Å; angles 90.00, 90.00, 90.00 degrees
Sites, in units of the cell vectors:
1 Ti 0.0000 0.0000 0.0000
2 Al 0.5000 0.5000 0.5000
3 Pb 0.0000 0.5000 0.5000
4 Pb 0.5000 0.0000 0.5000
5 Pb 0.5000 0.5000 0.0000

# 12
The following is a DFT calculation (meta-GGA SCAN) of a crystal of Al2TlPb relaxed with PBEsol.

ΔE to the lowest computed polymorph	0.0000	eV per atom
symmetry	R-3m, No. 166
ΔH_f (0 K)	7.12	kcal/mol of atoms

Cell lengths 10.4114, 10.4114, 10.4114 Å; angles 18.04, 18.04, 18.04 degrees
Sites, in units of the cell vectors:
1 Al 0.2479 0.2479 0.2479
2 Al 0.7521 0.7521 0.7521
3 Tl 0.5000 0.5000 0.5000
4 Pb 0.0000 0.0000 0.0000